No. 1
A relaxed structure of KErIn, computed with GGA-PBE.

Values from the calculation:
Fermi-level density of states   7.727 states/eV/cell
E_form   -0.13 eV/atom
Size of the total moment   1.34 μB/cell

Geometry as CIF:
```
data_KErIn
_chemical_formula_sum 'K4 Er4 In4'
_cell_length_a 3.994
_cell_length_b 3.994
_cell_length_c 28.877
_cell_angle_alpha 90.00
_cell_angle_beta 90.00
_cell_angle_gamma 90.00
_symmetry_space_group_name_H-M 'I 4/m m m'
_symmetry_Int_Tables_number 139
_symmetry_space_group_name_Hall '-I 4 2'
loop_
_atom_site_label
_atom_site_type_symbol
_atom_site_fract_x
_atom_site_fract_y
_atom_site_fract_z
K1 K 0.000 0.000 0.077
Er1 Er 0.000 0.000 0.213
In1 In 0.000 0.000 0.336
```

---

No. 2
A relaxed structure of Ba3CaTl, computed with GGA-PBE.

Values from the calculation:
Fermi-level density of states   8.745 states/eV/cell
Distance to the lowest polymorph of the same formula   209.7 meV per atom
E_form   0.04 eV/atom
Size of the total moment   0.89 μB/cell

Geometry as CIF:
```
data_Ba3CaTl
_chemical_formula_sum 'Ba3 Ca1 Tl1'
_cell_length_a 6.762
_cell_length_b 6.762
_cell_length_c 6.762
_cell_angle_alpha 90.00
_cell_angle_beta 90.00
_cell_angle_gamma 90.00
_symmetry_space_group_name_H-M 'P m -3 m'
_symmetry_Int_Tables_number 221
_symmetry_space_group_name_Hall '-P 4 2 3'
loop_
_atom_site_label
_atom_site_type_symbol
_atom_site_fract_x
_atom_site_fract_y
_atom_site_fract_z
Ba1 Ba 0.000 0.000 0.500
Ca1 Ca 0.500 0.500 0.500
Tl1 Tl 0.000 0.000 0.000
```

---

No. 3
A relaxed structure of ZrMn2Co2, computed with GGA-PBE.

Values from the calculation:
Fermi-level density of states   10.560 states/eV/cell
Distance to the lowest polymorph of the same formula   89.9 meV per atom
E_form   0.09 eV/atom
Size of the total moment   0.00 μB/cell

Geometry as CIF:
```
data_ZrMn2Co2
_chemical_formula_sum 'Zr2 Mn4 Co4'
_cell_length_a 7.013
_cell_length_b 7.013
_cell_length_c 2.574
_cell_angle_alpha 90.00
_cell_angle_beta 90.00
_cell_angle_gamma 90.00
_symmetry_space_group_name_H-M 'P 4/m b m'
_symmetry_Int_Tables_number 127
_symmetry_space_group_name_Hall '-P 4 2ab'
loop_
_atom_site_label
_atom_site_type_symbol
_atom_site_fract_x
_atom_site_fract_y
_atom_site_fract_z
Zr1 Zr 0.000 0.000 0.000
Mn1 Mn 0.116 0.384 0.000
Co1 Co 0.175 0.675 0.500
```

---

No. 4
A relaxed structure of ZrTlIrO2, computed with GGA-PBE.

Values from the calculation:
Raw formation energy   -0.70 eV per atom
Fermi-level density of states   4.381 states/eV/cell
Size of the total moment   0.58 μB/cell

Geometry as CIF:
```
data_ZrTlIrO2
_chemical_formula_sum 'Zr1 Tl1 Ir1 O2'
_cell_length_a 3.983
_cell_length_b 3.983
_cell_length_c 7.268
_cell_angle_alpha 90.00
_cell_angle_beta 90.00
_cell_angle_gamma 90.00
_symmetry_space_group_name_H-M 'P 4/m m m'
_symmetry_Int_Tables_number 123
_symmetry_space_group_name_Hall '-P 4 2'
loop_
_atom_site_label
_atom_site_type_symbol
_atom_site_fract_x
_atom_site_fract_y
_atom_site_fract_z
Zr1 Zr 0.000 0.000 0.000
Tl1 Tl 0.000 0.000 0.500
Ir1 Ir 0.500 0.500 0.500
O1 O 0.000 0.500 0.000
```